This record from Alexandria describes an optimized crystal structure of HfCo3. The functional is PBE.

abc: 4.1819 5.3115 5.3115
angles: 120.00 90.00 90.00
Last column: nearest neighbours and their distance in Å.
Fractional coordinates of all 8 atoms:
Co 0.7500 0.8459 0.6917  6 Co 2.46-2.53, 4 Hf 2.66
Co 0.7500 0.8458 0.1541  6 Co 2.46-2.53, 4 Hf 2.66
Co 0.2500 0.6917 0.8459  6 Co 2.46-2.53, 4 Hf 2.66
Co 0.2500 0.1541 0.8458  6 Co 2.46-2.53, 4 Hf 2.66
Co 0.7500 0.3083 0.1541  6 Co 2.46-2.53, 4 Hf 2.66
Co 0.2500 0.1541 0.3083  6 Co 2.46-2.53, 4 Hf 2.66
Hf 0.2500 0.6666 0.3333  12 Co 2.66
Hf 0.7500 0.3333 0.6667  12 Co 2.66

Values from the calculation:
Volume in A^3/atom: 12.77
Formation enthalpy at 0 K in eV per atom: -0.19

=====

This record from Alexandria describes an optimized crystal structure of LiCaSn2. The functional is PBE.

abc: 4.5878 4.6199 4.6199
angles: 90.00 90.00 90.00
Last column: nearest neighbours and their distance in Å.
Fractional coordinates of all 4 atoms:
Sn 0.0000 0.5000 0.0000  4 Li 3.26, 4 Ca 3.26, 4 Sn 3.27
Sn 0.0000 0.0000 0.5000  4 Li 3.26, 4 Ca 3.26, 4 Sn 3.27
Li 0.5000 0.5000 0.5000  8 Sn 3.26, 4 Ca 3.27
Ca 0.5000 0.0000 0.0000  8 Sn 3.26, 4 Li 3.27

Values from the calculation:
Volume in A^3/atom: 24.48
Formation enthalpy at 0 K in eV per atom: -0.47

=====

This record from Alexandria describes an optimized crystal structure of AcAsPdO5. The functional is PBE.

abc: 6.3554 6.3554 7.1874
angles: 101.67 101.67 115.24
Last column: nearest neighbours and their distance in Å.
Fractional coordinates of all 16 atoms:
As 0.3618 0.6382 0.7500  4 O 1.72-1.74
As 0.6382 0.3618 0.2500  4 O 1.72-1.74
O 0.7143 0.6336 0.4314  1 As 1.74
O 0.6336 0.7143 0.9314  1 As 1.74
O 0.3664 0.2857 0.0686  1 As 1.74
O 0.9117 0.0883 0.7500  2 Pd 2.03
O 0.2857 0.3664 0.5686  1 As 1.74
O 0.3770 0.8455 0.6254  1 As 1.72
O 0.1545 0.6230 0.8746  1 As 1.72
O 0.6230 0.1545 0.3746  1 As 1.72
O 0.8455 0.3770 0.1254  1 As 1.72
O 0.0883 0.9117 0.2500  2 Pd 2.03
Ac 0.3113 0.6887 0.2500  5 O 2.39-2.59
Ac 0.6887 0.3113 0.7500  5 O 2.39-2.59
Pd 0.0000 0.0000 0.5000  4 O 2.03-2.13
Pd 0.0000 0.0000 0.0000  4 O 2.03-2.13

Values from the calculation:
Volume in A^3/atom: 15.20
ΔE_f (raw) in eV per atom: -1.731

=====

This record from Alexandria describes an optimized crystal structure of TaInCuSe2. The functional is PBE.

abc: 5.0055 5.1401 5.0055
angles: 90.00 90.00 90.00
Last column: nearest neighbours and their distance in Å.
Fractional coordinates of all 5 atoms:
In 0.5000 0.5000 0.5000  4 Cu 3.54, 8 Se 3.59
Se 0.0000 0.0000 0.5000  2 Ta 2.50
Se 0.5000 0.0000 0.0000  2 Ta 2.50
Ta 0.0000 0.0000 0.0000  4 Se 2.50, 2 Cu 2.57
Cu 0.0000 0.5000 0.0000  2 Ta 2.57

Values from the calculation:
Volume in A^3/atom: 25.76
ΔE_f (raw) in eV per atom: 0.043

=====

This record from Alexandria describes an optimized crystal structure of Pr3Cd2Hg3. The functional is PBE.

abc: 4.0032 5.3719 10.8118
angles: 104.38 100.67 90.00
Last column: nearest neighbours and their distance in Å.
Fractional coordinates of all 8 atoms:
Hg 0.8763 0.8763 0.7526  2 Cd 3.07, 6 Pr 3.24-3.36
Hg 0.0000 0.5000 0.0000  8 Pr 3.35-3.42, 4 Hg 3.70
Hg 0.1237 0.1237 0.2474  2 Cd 3.07, 6 Pr 3.24-3.36
Cd 0.2630 0.7630 0.5259  2 Hg 3.07, 4 Pr 3.31-3.41, 4 Cd 3.39
Cd 0.7370 0.2370 0.4741  2 Hg 3.07, 4 Pr 3.31-3.41, 4 Cd 3.39
Pr 0.5000 0.0000 0.0000  8 Hg 3.24-3.35
Pr 0.6350 0.6350 0.2699  4 Cd 3.31-3.41, 6 Hg 3.36-3.42
Pr 0.3650 0.3650 0.7301  4 Cd 3.31-3.41, 6 Hg 3.36-3.42

Values from the calculation:
Volume in A^3/atom: 27.63
Formation enthalpy at 0 K in eV per atom: -0.37
Excess energy over the best structure of this formula in the dataset in eV/atom: 0.0020

=====

This record from Alexandria describes an optimized crystal structure of MnSnPd3. The functional is PBE.

abc: 4.9018 4.9018 4.9018
angles: 90.00 90.00 90.00
Last column: nearest neighbours and their distance in Å.
Fractional coordinates of all 5 atoms:
Sn 0.0000 0.0000 0.0000  6 Pd 2.45
Mn 0.5000 0.5000 0.5000  12 Pd 3.47
Pd 0.5000 0.0000 0.0000  2 Sn 2.45
Pd 0.0000 0.5000 0.0000  2 Sn 2.45
Pd 0.0000 0.0000 0.5000  2 Sn 2.45

Values from the calculation:
Volume in A^3/atom: 23.56
Formation enthalpy at 0 K in eV per atom: 0.62
Excess energy over the best structure of this formula in the dataset in eV/atom: 1.0187

=====

This record from Alexandria describes an optimized crystal structure of LiBIr. The functional is PBE.

abc: 6.9974 6.1008 5.5573
angles: 73.60 56.76 49.63
Last column: nearest neighbours and their distance in Å.
Fractional coordinates of all 12 atoms:
B 0.8236 0.1764 0.8236  4 Ir 2.09-2.15
B 0.1764 0.8236 0.1764  4 Ir 2.09-2.15
B 0.4264 0.0736 0.4264  4 Ir 2.09-2.15
B 0.0736 0.4264 0.0736  4 Ir 2.09-2.15
Li 0.6250 0.6250 0.1250  2 B 2.39, 2 Ir 2.59
Li 0.6250 0.1250 0.6250  2 B 2.39, 2 Ir 2.59
Li 0.1250 0.6250 0.6250  2 B 2.39, 2 Ir 2.59
Li 0.6250 0.6250 0.6250  2 B 2.39, 2 Ir 2.59
Ir 0.1331 0.1331 0.8669  4 B 2.09-2.15
Ir 0.3831 0.3831 0.1169  4 B 2.09-2.15
Ir 0.8669 0.8669 0.1331  4 B 2.09-2.15
Ir 0.1169 0.1169 0.3831  4 B 2.09-2.15

Values from the calculation:
Volume in A^3/atom: 12.52
Formation enthalpy at 0 K in eV per atom: -0.50
Excess energy over the best structure of this formula in the dataset in eV/atom: 0.0000

=====

This record from Alexandria describes an optimized crystal structure of Li5Cd3Hg3. The functional is PBE.

abc: 3.1521 9.5605 9.5605
angles: 120.00 90.00 90.00
Last column: nearest neighbours and their distance in Å.
Fractional coordinates of all 11 atoms:
Li 0.5000 0.3357 0.0000  2 Hg 2.67, 2 Cd 2.78
Li 0.5000 0.6667 0.3333  5 Li 3.15-3.18, 6 Hg 3.23
Li 0.5000 0.3333 0.6667  5 Li 3.15-3.18, 6 Hg 3.23
Li 0.5000 0.0000 0.3357  2 Hg 2.67, 2 Cd 2.78
Li 0.5000 0.6643 0.6643  2 Hg 2.67, 2 Cd 2.78
Hg 0.0000 0.4394 0.4394  2 Li 2.67, 2 Cd 2.95
Hg 0.0000 0.0000 0.5606  2 Li 2.67, 2 Cd 2.95
Hg 0.0000 0.5606 0.0000  2 Li 2.67, 2 Cd 2.95
Cd 0.5000 0.1784 0.1784  2 Li 2.78, 2 Hg 2.95, 2 Cd 2.95
Cd 0.5000 0.0000 0.8216  2 Li 2.78, 2 Hg 2.95, 2 Cd 2.95
Cd 0.5000 0.8216 0.0000  2 Li 2.78, 2 Hg 2.95, 2 Cd 2.95

Values from the calculation:
Volume in A^3/atom: 22.68
Formation enthalpy at 0 K in eV per atom: -0.11